(1)
A plane-wave DFT calculation with GGA-PBEsol was carried out for a geometry-optimized KMgHg2 structure.

Cell lengths 3.569, 4.828, 7.378 Å; angles 99.82, 90.00, 111.69 degrees
Fractional positions:
Mg 0.500 0.000 0.000
Hg 0.764 0.529 0.819
Hg 0.236 0.471 0.181
K 0.000 0.000 0.500

Calculated values
As for the total magnetization: 0.0 μB/f.u. The value obtained for the formation energy is -0.14 eV per atom.

---

(2)
A plane-wave DFT calculation with GGA-PBEsol was carried out for a geometry-optimized KMgHg2 structure.

Cell lengths 3.621, 3.621, 8.091 Å; angles 90.00, 90.00, 90.00 degrees
Fractional positions:
Mg 0.500 0.500 0.500
Hg 0.000 0.000 0.694
Hg 0.000 0.000 0.306
K 0.500 0.500 0.000

Calculated values
As for the total magnetization: 0.0 μB/f.u. The value obtained for the formation energy is -0.22 eV per atom.

---

(3)
A plane-wave DFT calculation with GGA-PBEsol was carried out for a geometry-optimized K2MgHg2 structure.

Cell lengths 5.490, 7.717, 7.717 Å; angles 90.00, 90.00, 90.00 degrees
Fractional positions:
K 0.500 0.827 0.327
K 0.500 0.327 0.173
K 0.500 0.673 0.827
K 0.500 0.173 0.673
Mg 0.000 0.500 0.500
Mg 0.000 0.000 0.000
Hg 0.000 0.363 0.863
Hg 0.000 0.863 0.637
Hg 0.000 0.637 0.137
Hg 0.000 0.137 0.363

Calculated values
As for the total magnetization: 0.0 μB/f.u. The value obtained for the formation energy is -0.15 eV per atom.

---

(4)
A plane-wave DFT calculation with GGA-PBEsol was carried out for a geometry-optimized KMgHg structure.

Cell lengths 3.823, 3.823, 6.902 Å; angles 106.08, 106.08, 90.00 degrees
Fractional positions:
K 0.658 0.658 0.317
Hg 0.959 0.959 0.919
Mg 0.382 0.382 0.764

Calculated values
As for the total magnetization: 0.0 μB/f.u. The value obtained for the formation energy is -0.11 eV per atom. The value obtained for the energy above the most stable polymorph in this dataset is 0.0 meV/atom.

---

no.,calculated density (g cm⁻³)
1,6.65
2,7.27
3,5.12
4,4.72